Computed, not measured: an optimized crystal structure of SmHoTl6 at the PBE-GGA level of DFT.

a = 4.7841 Å, b = 4.7841 Å, c = 9.5663 Å
α = 90.00°, β = 90.00°, γ = 90.00°
Positions (direct):
Sm 0.0000 0.0000 0.0000
Ho 0.0000 0.0000 0.5000
Tl 0.0000 0.5000 0.2528
Tl 0.0000 0.5000 0.7472
Tl 0.5000 0.0000 0.2528
Tl 0.5000 0.0000 0.7472
Tl 0.5000 0.5000 0.0000
Tl 0.5000 0.5000 0.5000

## Properties
Spin magnetization in μB per atom: 0.00
Total DFT energy (no corrections) in eV/cell: -25.5
DOS(E_F) in states/eV/f.u.: 2.2



Computed, not measured: an optimized crystal structure of PmDy2Ga3 at the PBE-GGA level of DFT.

a = 3.5892 Å, b = 3.5892 Å, c = 10.9017 Å
α = 90.00°, β = 90.00°, γ = 90.00°
Positions (direct):
Pm 0.0000 0.0000 0.0000
Dy 0.0000 0.0000 0.3370
Dy 0.0000 0.0000 0.6630
Ga 0.5000 0.5000 0.1759
Ga 0.5000 0.5000 0.5000
Ga 0.5000 0.5000 0.8241

## Properties
Spin magnetization in μB per atom: 0.00
Total DFT energy (no corrections) in eV/cell: -26.5
DOS(E_F) in states/eV/f.u.: 3.1



Computed, not measured: an optimized crystal structure of VCoMo2H at the PBE-GGA level of DFT.

a = 3.9270 Å, b = 3.9270 Å, c = 3.7742 Å
α = 90.00°, β = 90.00°, γ = 90.00°
Positions (direct):
V 0.0000 0.0000 0.0000
Co 0.5000 0.5000 0.0000
Mo 0.0000 0.5000 0.5000
Mo 0.5000 0.0000 0.5000
H 0.0000 0.0000 0.5000

## Properties
Spin magnetization in μB per atom: 0.15
DOS(E_F) in states/eV/f.u.: 6.5
Offset from the most stable computed form in meV per atom: 64.9



Computed, not measured: an optimized crystal structure of CuBOs2 at the PBE-GGA level of DFT.

a = 8.1340 Å, b = 8.1340 Å, c = 8.1340 Å
α = 152.19°, β = 152.19°, γ = 39.73°
Positions (direct):
Cu 0.0000 0.0000 0.0000
Cu 0.7500 0.2500 0.5000
B 0.2500 0.7500 0.5000
B 0.5000 0.5000 0.0000
Os 0.2044 0.6250 0.0794
Os 0.3750 0.4544 0.5794
Os 0.5456 0.1250 0.9206
Os 0.8750 0.7956 0.4206

## Properties
Spin magnetization in μB per atom: 0.00
Total DFT energy (no corrections) in eV/cell: -57.8
DOS(E_F) in states/eV/f.u.: 3.1



Computed, not measured: an optimized crystal structure of Ba2AlH8 at the PBE-GGA level of DFT.

a = 6.1332 Å, b = 6.1332 Å, c = 4.6912 Å
α = 103.18°, β = 103.18°, γ = 77.77°
Positions (direct):
Ba 0.1954 0.1954 0.3265
Ba 0.8046 0.8046 0.6735
Al 0.5000 0.5000 0.0000
H 0.0813 0.0813 0.7689
H 0.2082 0.5197 0.8709
H 0.4803 0.7918 0.1291
H 0.4933 0.4933 0.3917
H 0.5067 0.5067 0.6083
H 0.5197 0.2082 0.8709
H 0.7918 0.4803 0.1291
H 0.9187 0.9187 0.2311

## Properties
Spin magnetization in μB per atom: 0.02
Total DFT energy (no corrections) in eV/cell: -36.1
DOS(E_F) in states/eV/f.u.: 2.1



Computed, not measured: an optimized crystal structure of Ba2PmMg2Bi4 at the PBE-GGA level of DFT.

a = 8.9733 Å, b = 8.9733 Å, c = 7.9074 Å
α = 108.39°, β = 108.39°, γ = 31.93°
Positions (direct):
Ba 0.1363 0.1363 0.0903
Ba 0.8637 0.8637 0.9097
Pm 0.0000 0.0000 0.5000
Mg 0.3319 0.3319 0.5112
Mg 0.6681 0.6681 0.4888
Bi 0.2039 0.2039 0.7035
Bi 0.4994 0.4994 0.2254
Bi 0.5006 0.5006 0.7746
Bi 0.7961 0.7961 0.2965

## Properties
Spin magnetization in μB per atom: 0.00
Total DFT energy (no corrections) in eV/cell: -33.9
DOS(E_F) in states/eV/f.u.: 3.7